VASP calculation (GGA+U) on an optimized crystal structure of CoGeI2O.

- Calculated density: 5.2 g/cm3
- Space group: P4/mmm (123)
- DFT total energy: -3.377 eV/atom

POSCAR file:
```
CoGeI2O
1.0
5.821 0.000 0.000
0.000 5.821 0.000
0.000 0.000 3.759
Co Ge I O
1 1 2 1
Cartesian
0.000 0.000 0.000
2.910 2.910 1.880
0.000 2.910 1.880
2.910 0.000 1.880
2.910 2.910 0.000
```